(1)
The following is a GGA-PBE calculation of V2FeTe6 after structural relaxation, from Alexandria.

Structure (CIF):
```
data_V2FeTe6
_cell_length_a 6.319
_cell_length_b 6.319
_cell_length_c 11.468
_cell_angle_alpha 90.00
_cell_angle_beta 90.00
_cell_angle_gamma 90.00
_symmetry_space_group_name_H-M 'P 42/m n m'
_symmetry_Int_Tables_number 136
_symmetry_space_group_name_Hall '-P 4n 2n'
loop_
_atom_site_label
_atom_site_fract_x
_atom_site_fract_y
_atom_site_fract_z
V1 0.000 0.000 0.152
Fe1 0.000 0.000 0.500
Te1 0.192 0.192 0.332
Te2 0.216 0.216 0.000
```

Summary:
E_tot = -46.5 eV/f.u.
Fermi-level density of states = 18.75 states/eV per cell

=====

(2)
The following is a GGA-PBE calculation of Na3TlSb after structural relaxation, from Alexandria.

Structure (CIF):
```
data_Na3TlSb
_cell_length_a 5.662
_cell_length_b 5.662
_cell_length_c 5.662
_cell_angle_alpha 90.00
_cell_angle_beta 90.00
_cell_angle_gamma 90.00
_symmetry_space_group_name_H-M 'P m -3 m'
_symmetry_Int_Tables_number 221
_symmetry_space_group_name_Hall '-P 4 2 3'
loop_
_atom_site_label
_atom_site_fract_x
_atom_site_fract_y
_atom_site_fract_z
Na1 0.000 0.000 0.500
Tl1 0.000 0.000 0.000
Sb1 0.500 0.500 0.500
```

Summary:
E_tot = -9.0 eV/f.u.
polymorph energy (0 for the lowest one) = 56.1 kJ/mol of atoms
Fermi-level density of states = 4.08 states/eV per cell

=====

(3)
The following is a GGA-PBE calculation of Tm2Be4AlIr3 after structural relaxation, from Alexandria.

Structure (CIF):
```
data_Tm2Be4AlIr3
_cell_length_a 3.803
_cell_length_b 3.803
_cell_length_c 10.182
_cell_angle_alpha 90.00
_cell_angle_beta 90.00
_cell_angle_gamma 90.00
_symmetry_space_group_name_H-M 'P -4 m 2'
_symmetry_Int_Tables_number 115
loop_
_symmetry_equiv_pos_as_xyz
'x,y,z'
'y,-x,-z'
'-x,-y,z'
'-y,x,-z'
'-x,y,z'
'-y,-x,-z'
'x,-y,z'
'y,x,-z'
loop_
_atom_site_label
_atom_site_fract_x
_atom_site_fract_y
_atom_site_fract_z
Tm1 0.000 0.500 0.241
Be1 0.000 0.000 0.000
Be2 0.000 0.500 0.642
Be3 0.500 0.500 0.000
Al1 0.000 0.000 0.500
Ir1 0.000 0.500 0.871
Ir2 0.500 0.500 0.500
```

Summary:
E_tot = -60.3 eV/f.u.
Fermi-level density of states = 2.73 states/eV per cell
energy of formation = -615.1 meV per atom

=====

(4)
The following is a GGA-PBE calculation of Ce2PuHg2 after structural relaxation, from Alexandria.

Structure (CIF):
```
data_Ce2PuHg2
_cell_length_a 11.480
_cell_length_b 3.748
_cell_length_c 12.214
_cell_angle_alpha 90.00
_cell_angle_beta 97.52
_cell_angle_gamma 90.00
_symmetry_space_group_name_H-M 'C 1 2/m 1'
_symmetry_Int_Tables_number 12
loop_
_symmetry_equiv_pos_as_xyz
'x,y,z'
'-x,-y,-z'
'-x,y,-z'
'x,-y,z'
'x+1/2,y+1/2,z'
'-x+1/2,-y+1/2,-z'
'-x+1/2,y+1/2,-z'
'x+1/2,-y+1/2,z'
loop_
_atom_site_label
_atom_site_fract_x
_atom_site_fract_y
_atom_site_fract_z
Ce1 0.034 0.000 0.356
Ce2 0.157 0.000 0.080
Pu1 0.237 0.500 0.231
Hg1 0.057 0.500 0.860
Hg2 0.171 0.500 0.559
```

Summary:
E_tot = -27.8 eV/f.u.
Fermi-level density of states = 43.60 states/eV per cell
energy of formation = -195.9 meV per atom

=====

(5)
The following is a GGA-PBE calculation of HgNOF2 after structural relaxation, from Alexandria.

Structure (CIF):
```
data_HgNOF2
_cell_length_a 4.421
_cell_length_b 4.421
_cell_length_c 4.248
_cell_angle_alpha 90.00
_cell_angle_beta 90.00
_cell_angle_gamma 90.00
_symmetry_space_group_name_H-M 'P 4/m m m'
_symmetry_Int_Tables_number 123
_symmetry_space_group_name_Hall '-P 4 2'
loop_
_atom_site_label
_atom_site_fract_x
_atom_site_fract_y
_atom_site_fract_z
Hg1 0.000 0.000 0.000
N1 0.500 0.500 0.500
O1 0.000 0.000 0.500
F1 0.000 0.500 0.000
```

Summary:
E_tot = -13.7 eV/f.u.
polymorph energy (0 for the lowest one) = 25.4 kJ/mol of atoms
Fermi-level density of states = 3.99 states/eV per cell

=====

(6)
The following is a GGA-PBE calculation of FeRe2Au after structural relaxation, from Alexandria.

Structure (CIF):
```
data_FeRe2Au
_cell_length_a 2.829
_cell_length_b 4.398
_cell_length_c 9.780
_cell_angle_alpha 90.00
_cell_angle_beta 90.00
_cell_angle_gamma 90.00
_symmetry_space_group_name_H-M 'I m m m'
_symmetry_Int_Tables_number 71
_symmetry_space_group_name_Hall '-I 2 2'
loop_
_atom_site_label
_atom_site_fract_x
_atom_site_fract_y
_atom_site_fract_z
Fe1 0.000 0.000 0.000
Re1 0.000 0.500 0.287
Au1 0.000 0.000 0.500
```

Summary:
E_tot = -35.1 eV/f.u.
polymorph energy (0 for the lowest one) = 16.6 kJ/mol of atoms
Fermi-level density of states = 7.31 states/eV per cell
energy of formation = 390.2 meV per atom

=====

Question: Which value of Fermi-level density of states does entry 3 give?
Answer: 2.73 states/eV per cell